Record 1
CuHg2Sb: relaxed, PBE-GGA.

Geometry as POSCAR:
```
CuHg2Sb
1.0
5.4264 0.0611 0.0000
-2.5581 4.7860 0.0000
0.0000 0.0000 3.4623
Hg Sb Cu
2 1 1
Direct
0.0000 0.0000 0.0000
0.5000 0.5000 0.0000
0.5000 0.0000 0.5000
0.0000 0.5000 0.5000
```

Computed properties:
Uncorrected energy in eV per atom: -1.89
Spin magnetization in μB per cell: 0.00

=====

Record 2
CuHg2Sb2: relaxed, PBE-GGA.

Geometry as POSCAR:
```
CuHg2Sb2
1.0
-4.0731 4.4307 3.9298
-5.6444 -1.4600 -4.2041
-1.1930 -3.6378 2.8650
Cu Hg Sb
2 4 4
Direct
0.5000 0.5000 0.0000
0.0000 0.0000 0.0000
0.8376 0.6624 0.0000
0.3376 0.8376 0.0000
0.1624 0.3376 0.0000
0.6624 0.1624 0.0000
0.6495 0.8505 0.5000
0.1495 0.6495 0.5000
0.8505 0.3505 0.5000
0.3505 0.1495 0.5000
```

Computed properties:
Energy above the lowest structure with this stoichiometry in eV/atom: 0.2527
Uncorrected energy in eV per atom: -2.23
Spin magnetization in μB per cell: 0.00

=====

Record 3
CuHgSb2: relaxed, PBE-GGA.

Geometry as POSCAR:
```
CuHgSb2
1.0
-1.5759 3.3896 -1.7760
-2.3177 -0.3388 -3.4118
-6.9912 0.4271 2.1970
Hg Sb Cu
1 2 1
Direct
0.5002 0.5002 0.4993
0.2770 0.2770 0.1690
0.0566 0.0566 0.8302
0.6662 0.6662 0.0015
```

Computed properties:
Uncorrected energy in eV per atom: -3.06
Spin magnetization in μB per cell: 0.00

=====

Record 4
CuHg2Sb: relaxed, PBE-GGA.

Geometry as POSCAR:
```
CuHg2Sb
1.0
-1.9498 0.3198 -4.2917
0.3679 -4.9905 -0.5389
-3.8657 -2.9665 1.5352
Hg Cu Sb
2 1 1
Direct
0.0000 0.9303 0.9371
0.5000 0.2787 0.2737
0.5000 0.7018 0.7018
0.0000 0.5891 0.5873
```

Computed properties:
Uncorrected energy in eV per atom: -2.05
Spin magnetization in μB per cell: 0.00

=====

Record 5
CuHgSb2: relaxed, PBE-GGA.

Geometry as POSCAR:
```
CuHgSb2
1.0
-1.5697 0.3331 -4.2278
1.3696 -0.6954 -4.2533
-2.5014 -7.1237 -1.0146
Sb Cu Hg
2 1 1
Direct
0.0446 0.0446 0.9899
0.1962 0.1962 0.3112
0.4594 0.4594 0.4693
0.7998 0.7998 0.7296
```

Computed properties:
Uncorrected energy in eV per atom: -2.99
Spin magnetization in μB per cell: 0.00

=====

Record 6
CuHgSb: relaxed, PBE-GGA.

Geometry as POSCAR:
```
CuHgSb
1.0
-3.2365 2.7372 1.3409
-2.6595 -0.8379 -4.6736
0.2185 -5.2891 4.0001
Sb Cu Hg
2 2 2
Direct
0.0667 0.3146 0.1291
0.9333 0.6854 0.8709
0.3061 0.5564 0.6135
0.6939 0.4436 0.3865
0.3463 0.0961 0.6927
0.6537 0.9039 0.3073
```

Computed properties:
Uncorrected energy in eV per atom: -2.76
Spin magnetization in μB per cell: 0.00

=====

Record 7
CuHg2Sb: relaxed, PBE-GGA.

Geometry as POSCAR:
```
CuHg2Sb
1.0
5.4348 -0.0110 0.0000
1.7807 5.1349 0.0000
-3.6078 -2.5619 3.1557
Hg Cu Sb
2 1 1
Direct
0.0000 0.0000 0.0000
0.2500 0.7500 0.5000
0.7500 0.2500 0.5000
0.5000 0.5000 0.0000
```

Computed properties:
Uncorrected energy in eV per atom: -1.90
Spin magnetization in μB per cell: 0.00

=====

Record 8
CuHgSb: relaxed, PBE-GGA.

Geometry as POSCAR:
```
CuHgSb
1.0
5.3351 0.0000 0.0218
0.0000 4.1805 0.0000
-2.9945 0.0000 12.3160
Hg Cu Sb
4 4 4
Direct
0.3655 0.5000 0.4109
0.7229 0.5000 0.2575
0.3655 0.0000 0.9109
0.7229 0.0000 0.7575
0.3771 0.5000 0.0577
0.0462 0.5000 0.8427
0.0462 0.0000 0.3427
0.3771 0.0000 0.5577
0.8500 0.0000 0.5128
0.8500 0.5000 0.0128
0.1832 0.5000 0.6579
0.1832 0.0000 0.1579
```

Computed properties:
Uncorrected energy in eV per atom: -2.72
Spin magnetization in μB per cell: 0.00

=====

Look up the spin magnetization of the fourth one. 0.00 μB per cell